A plane-wave DFT calculation with PBE with a Hubbard U was carried out for a geometry-optimized MgCoSe2O8 structure.

```
MgCoSe2O8
1.0
-5.657 1.014 -0.356
1.698 -5.441 -0.817
1.523 1.350 5.386
O Mg Se Co
8 1 2 1
Direct
0.493 0.678 0.815 O
0.322 0.507 0.185 O
0.863 0.678 0.185 O
0.322 0.137 0.815 O
0.931 0.614 0.684 O
0.931 0.247 0.316 O
0.386 0.069 0.316 O
0.753 0.069 0.684 O
0.250 0.750 0.500 Mg
0.500 0.500 0.000 Se
0.750 0.250 0.500 Se
0.000 0.000 0.000 Co
```

Calculated values
**Space-group type**: No. 119
**Total DFT energy (no corrections)**: -5.4277 eV/atom